# 1
# PrSnH PBE optimized geometry
data_PrSnH
_chemical_formula_sum 'Pr1 Sn1 H1'
_space_group_name_H-M_alt 'P -6 m 2'
_space_group_IT_number 187
_space_group_name_Hall 'P -6 2'
_cell_length_a 3.8379
_cell_length_b 3.8379
_cell_length_c 5.2411
_cell_angle_alpha 90.00
_cell_angle_beta 90.00
_cell_angle_gamma 120.00
loop_
_atom_site_label
_atom_site_type_symbol
_atom_site_fract_x
_atom_site_fract_y
_atom_site_fract_z
Pr1 Pr 0.0000 0.0000 0.0000
Sn1 Sn 0.6667 0.3333 0.5000
H1 H 0.3333 0.6667 0.0000
# Final energy, eV per atom: -4.589
# Total moment, μB/f.u.: 0.00



# 2
# PrSnH PBE optimized geometry
data_PrSnH
_chemical_formula_sum 'Pr2 Sn2 H2'
_space_group_name_H-M_alt 'P 1 21/m 1'
_space_group_IT_number 11
_cell_length_a 4.3687
_cell_length_b 4.4395
_cell_length_c 6.6593
_cell_angle_alpha 90.00
_cell_angle_beta 109.17
_cell_angle_gamma 90.00
loop_
_space_group_symop_operation_xyz
'x,y,z'
'-x,-y,-z'
'-x,y+1/2,-z'
'x,-y+1/2,z'
loop_
_atom_site_label
_atom_site_type_symbol
_atom_site_fract_x
_atom_site_fract_y
_atom_site_fract_z
Pr1 Pr 0.1547 0.2500 0.3112
Sn1 Sn 0.4301 0.2500 0.8569
H1 H 0.2542 0.7500 0.5086
# Final energy, eV per atom: -4.713
# Total moment, μB/f.u.: 0.00



# 3
# Pr12Sn3H5 PBE optimized geometry
data_Pr12Sn3H5
_chemical_formula_sum 'Pr96 Sn24 H40'
_space_group_name_H-M_alt 'I a -3 d'
_space_group_IT_number 230
_space_group_name_Hall '-I 4bd 2c 3'
_cell_length_a 16.3211
_cell_length_b 16.3211
_cell_length_c 16.3211
_cell_angle_alpha 90.00
_cell_angle_beta 90.00
_cell_angle_gamma 90.00
loop_
_atom_site_label
_atom_site_type_symbol
_atom_site_fract_x
_atom_site_fract_y
_atom_site_fract_z
Pr1 Pr 0.0401 0.0563 0.6507
Sn1 Sn 0.0000 0.2500 0.1250
H1 H 0.0000 0.0000 0.0000
H2 H 0.0000 0.2500 0.3750
# Final energy, eV per atom: -4.645
# Total moment, μB/f.u.: 0.00